1.
First-principles (GGA-PBE) data for a relaxed structure of CdRh2Pb, as listed in the Alexandria database.

Lattice parameters (Å, degrees): 10.1242 3.1341 4.7440 90.00 105.37 90.00
Space group Cm (No. 8)
Inequivalent atoms, fractional coordinates:
Cd  0.0000  0.0000  0.0000
Rh  0.2445  0.5000  0.1076
Rh  0.4856  0.0000  0.4924
Pb  0.2282  0.0000  0.6019

Properties
Spin magnetization   0.000 μB per formula unit
E_tot   -19.3 eV/f.u.



2.
First-principles (GGA-PBE) data for a relaxed structure of SrAlSe2, as listed in the Alexandria database.

Lattice parameters (Å, degrees): 7.4084 7.4084 7.4084 90.00 90.00 90.00
Space group F-43m (No. 216)
Inequivalent atoms, fractional coordinates:
Sr  0.0000  0.0000  0.0000
Al  0.2500  0.2500  0.2500
Se  0.0000  0.0000  0.5000
Se  0.2500  0.2500  0.7500

Properties
Spin magnetization   0.000 μB per formula unit
E_tot   -13.7 eV/f.u.
ΔE_f (raw)   -0.333 eV/atom



3.
First-principles (GGA-PBE) data for a relaxed structure of ZrRe3N, as listed in the Alexandria database.

Lattice parameters (Å, degrees): 4.7797 4.7797 4.7797 90.00 90.00 90.00
Space group Pm-3m (No. 221)
Inequivalent atoms, fractional coordinates:
Zr  0.0000  0.0000  0.0000
Re  0.0000  0.0000  0.5000
N  0.5000  0.5000  0.5000

Properties
Spin magnetization   0.001 μB per formula unit
ΔE to the lowest computed polymorph   19.66 eV/f.u.
E_tot   -34.5 eV/f.u.
ΔE_f (raw)   3.953 eV/atom



4.
First-principles (GGA-PBE) data for a relaxed structure of Th6PtC3S2, as listed in the Alexandria database.

Lattice parameters (Å, degrees): 17.5308 3.8359 8.1143 90.00 106.69 90.00
Space group C2/m (No. 12)
Inequivalent atoms, fractional coordinates:
Th  0.0088  0.0000  0.2281
Th  0.1599  0.5000  0.1030
Th  0.1761  0.5000  0.5626
Pt  0.0000  0.5000  0.5000
C  0.0000  0.5000  0.0000
C  0.1672  0.0000  0.3307
S  0.1669  0.0000  0.8337

Properties
Spin magnetization   0.000 μB per formula unit
E_tot   -98.6 eV/f.u.
ΔE_f (raw)   -1.013 eV/atom



5.
First-principles (GGA-PBE) data for a relaxed structure of CdSiS2, as listed in the Alexandria database.

Lattice parameters (Å, degrees): 5.4993 5.4993 13.1468 90.00 90.00 90.00
Space group I-42d (No. 122)
Inequivalent atoms, fractional coordinates:
Cd  0.0000  0.0000  0.0000
Si  0.0000  0.0000  0.5000
S  0.2286  0.2500  0.6250

Properties
Spin magnetization   0.000 μB per formula unit
E_tot   -14.9 eV/f.u.
ΔE_f (raw)   -0.086 eV/atom



6.
First-principles (GGA-PBE) data for a relaxed structure of CaZn3Mo, as listed in the Alexandria database.

Lattice parameters (Å, degrees): 4.9021 4.9021 4.9021 90.00 90.00 90.00
Space group Pm-3m (No. 221)
Inequivalent atoms, fractional coordinates:
Ca  0.0000  0.0000  0.0000
Zn  0.0000  0.5000  0.5000
Mo  0.5000  0.5000  0.5000

Properties
Spin magnetization   0.000 μB per formula unit
ΔE to the lowest computed polymorph   0.00 eV/f.u.
E_tot   -14.6 eV/f.u.



7.
First-principles (GGA-PBE) data for a relaxed structure of CeScC, as listed in the Alexandria database.

Lattice parameters (Å, degrees): 3.0398 3.0398 11.5979 90.00 90.00 90.00
Space group I4mm (No. 107)
Inequivalent atoms, fractional coordinates:
Ce  0.0000  0.0000  0.0000
Sc  0.0000  0.0000  0.7715
C  0.0000  0.0000  0.3705

Properties
Spin magnetization   0.000 μB per formula unit
ΔE to the lowest computed polymorph   1.10 eV/f.u.
E_tot   -21.2 eV/f.u.



8.
First-principles (GGA-PBE) data for a relaxed structure of MgMnRu2, as listed in the Alexandria database.

Lattice parameters (Å, degrees): 2.7385 4.1253 5.2830 90.00 103.52 90.00
Space group P2/m (No. 10)
Inequivalent atoms, fractional coordinates:
Mg  0.0000  0.0000  0.0000
Mn  0.5000  0.0000  0.5000
Ru  0.3295  0.5000  0.7319

Properties
Spin magnetization   2.483 μB per formula unit
E_tot   -28.6 eV/f.u.



9.
First-principles (GGA-PBE) data for a relaxed structure of HoNpPa2N4, as listed in the Alexandria database.

Lattice parameters (Å, degrees): 6.0160 3.4732 6.0365 90.00 109.42 90.00
Space group P2/m (No. 10)
Inequivalent atoms, fractional coordinates:
Ho  0.0000  0.0000  0.0000
Np  0.0000  0.5000  0.5000
Pa  0.5000  0.0000  0.5000
Pa  0.5000  0.5000  0.0000
N  0.2516  0.0000  0.7535
N  0.2533  0.5000  0.2502

Properties
Spin magnetization   3.536 μB per formula unit
E_tot   -81.9 eV/f.u.
ΔE_f (raw)   -1.514 eV/atom



10.
First-principles (GGA-PBE) data for a relaxed structure of Tm2CuNi3, as listed in the Alexandria database.

Lattice parameters (Å, degrees): 4.4086 5.0603 9.0907 90.00 90.00 90.00
Space group Immm (No. 71)
Inequivalent atoms, fractional coordinates:
Tm  0.0000  0.0000  0.1911
Cu  0.0000  0.0000  0.5000
Ni  0.0000  0.5000  0.1262
Ni  0.0000  0.5000  0.5000

Properties
Spin magnetization   0.000 μB per formula unit
ΔE to the lowest computed polymorph   1.89 eV/f.u.
E_tot   -31.1 eV/f.u.



11.
First-principles (GGA-PBE) data for a relaxed structure of Rb8HgHAu2, as listed in the Alexandria database.

Lattice parameters (Å, degrees): 7.9646 8.7675 8.8866 89.85 77.86 86.83
Space group P-1 (No. 2)
Inequivalent atoms, fractional coordinates:
Rb  0.1785  0.2747  0.0808
Rb  0.2534  0.7763  0.1782
Rb  0.2687  0.3975  0.5420
Rb  0.3040  0.9013  0.7341
Hg  0.0000  0.0000  0.5000
H  0.0000  0.0000  0.0000
Au  0.4476  0.5420  0.8566

Properties
Spin magnetization   0.000 μB per formula unit
E_tot   -19.4 eV/f.u.



12.
First-principles (GGA-PBE) data for a relaxed structure of Th4Hg5Ru2, as listed in the Alexandria database.

Lattice parameters (Å, degrees): 7.9559 3.7186 9.6515 90.00 95.05 90.00
Space group P2/m (No. 10)
Inequivalent atoms, fractional coordinates:
Th  0.1890  0.0000  0.3437
Th  0.2150  0.0000  0.9387
Hg  0.1590  0.5000  0.6384
Hg  0.4678  0.5000  0.1699
Hg  0.5000  0.5000  0.5000
Ru  0.0896  0.5000  0.1402

Properties
Spin magnetization   0.000 μB per formula unit
E_tot   -53.7 eV/f.u.



13.
First-principles (GGA-PBE) data for a relaxed structure of CaAlPd, as listed in the Alexandria database.

Lattice parameters (Å, degrees): 4.3586 4.3586 4.0726 90.00 90.00 120.00
Space group P-6m2 (No. 187)
Inequivalent atoms, fractional coordinates:
Ca  0.0000  0.0000  0.0000
Al  0.3333  0.6667  0.5000
Pd  0.6667  0.3333  0.5000

Properties
Spin magnetization   0.000 μB per formula unit
E_tot   -12.8 eV/f.u.